The following is a PBE calculation of crystalline TbSm2Dy2Tm2 at its relaxed geometry, from Alexandria via LeMat-Bulk.

As for the density of states at the Fermi level: 11.58 states/eV/f.u. As for the crystal system: monoclinic. For the formation energy, the calculation gives 0.0871 eV per atom.

It has space group C2/m (No. 12), with a = 11.6336 Å, b = 3.5065 Å, c = 11.7634 Å, α = 90.00°, β = 109.45° and γ = 90.00°. Symmetry generates all atoms from Tb at (0.0000, 0.0000, 0.0000), Sm at (0.1699, 0.5000, 0.5836), Dy at (0.0512, 0.5000, 0.2695) and Tm at (0.2254, 0.0000, 0.8630).

---

The following is a PBE calculation of crystalline Sm5Rh2Pb2 at its relaxed geometry, from Alexandria via LeMat-Bulk.

As for the density of states at the Fermi level: 6.48 states/eV/f.u. As for the crystal system: orthorhombic. For the formation energy, the calculation gives -0.5852 eV per atom.

It has space group Cmce (No. 64), with a = 15.9250 Å, b = 8.6907 Å, c = 7.3073 Å, α = 90.00°, β = 90.00° and γ = 90.00°. Symmetry generates all atoms from Sm at (0.0000, 0.0000, 0.0000), Sm at (0.1187, 0.1792, 0.3543), Rh at (0.0000, 0.1236, 0.6393) and Pb at (0.2132, 0.0000, 0.0000).

---

The following is a PBE calculation of crystalline Nb3MoP at its relaxed geometry, from Alexandria via LeMat-Bulk.

Its relative energy among the computed polymorphs is 90.29 kJ/mol of atoms. As for the density of states at the Fermi level: 3.44 states/eV/f.u. As for the crystal system: cubic. For the formation energy, the calculation gives 1.3679 eV per atom.

It has space group Pm-3m (No. 221), with a = 4.8213 Å, b = 4.8213 Å, c = 4.8213 Å, α = 90.00°, β = 90.00° and γ = 90.00°. Symmetry generates all atoms from Nb at (0.0000, 0.0000, 0.5000), Mo at (0.0000, 0.0000, 0.0000) and P at (0.5000, 0.5000, 0.5000).

---

The following is a PBE calculation of crystalline Nd2Si2Rh5 at its relaxed geometry, from Alexandria via LeMat-Bulk.

As for the density of states at the Fermi level: 6.19 states/eV/f.u. As for the crystal system: tetragonal. Its uncorrected formation energy is -0.824 eV/atom.

It has space group P4/mmm (No. 123), with a = 4.1825 Å, b = 4.1825 Å, c = 8.9845 Å, α = 90.00°, β = 90.00° and γ = 90.00°. Symmetry generates all atoms from Nd at (0.0000, 0.0000, 0.0000), Nd at (0.0000, 0.0000, 0.5000), Si at (0.5000, 0.5000, 0.1431), Rh at (0.0000, 0.5000, 0.2626) and Rh at (0.5000, 0.5000, 0.5000).